# 1
Computed, not measured: a relaxed HgSeI2 crystal at the PBE level of DFT.

a b c (Å): 8.3414 8.3414 7.1171
angles (deg): 54.13 54.13 90.00
Closest atoms and distances in Å follow each position.
Atoms (fractional coordinates):
I 0.1462 0.6250 0.2500  2 Se 3.00, 2 Hg 3.23
I 0.8750 0.8538 0.7500  2 Se 3.00, 2 Hg 3.23
I 0.3750 0.3962 0.7500  2 Se 3.00, 2 Hg 3.23
I 0.6038 0.1250 0.2500  2 Se 3.00, 2 Hg 3.23
Hg 0.0000 0.0000 0.0000  4 I 3.23
Hg 0.7500 0.2500 0.5000  4 I 3.23
Se 0.5000 0.5000 0.0000  4 I 3.00
Se 0.2500 0.7500 0.5000  4 I 3.00

For the uncorrected formation energy, the calculation gives 1.160 eV per formula unit. For the calculated volume, the calculation gives 277.1 Å³ per cell. The calculation puts the total magnetization at 0.00 μB/f.u.

# 2
Computed, not measured: a relaxed LiTiV3 crystal at the PBE level of DFT.

a b c (Å): 4.1778 4.1778 4.1778
angles (deg): 90.00 90.00 90.00
Closest atoms and distances in Å follow each position.
Atoms (fractional coordinates):
Li 0.0000 0.0000 0.0000  6 V 2.09
V 0.0000 0.5000 0.0000  2 Li 2.09
V 0.5000 0.0000 0.0000  2 Li 2.09
V 0.0000 0.0000 0.5000  2 Li 2.09
Ti 0.5000 0.5000 0.5000  12 V 2.95

For the calculated volume, the calculation gives 72.9 Å³ per cell. The value obtained for the calculated total energy is -31.66 eV/f.u. The calculation puts the total magnetization at 0.00 μB/f.u.

# 3
Computed, not measured: a relaxed LiCeGeAu crystal at the PBE level of DFT.

a b c (Å): 4.9161 4.9161 4.9161
angles (deg): 60.00 60.00 60.00
Closest atoms and distances in Å follow each position.
Atoms (fractional coordinates):
Li 0.5000 0.5000 0.5000  4 Ge 3.01, 4 Au 3.01
Au 0.7500 0.7500 0.7500  4 Ce 3.01, 4 Li 3.01
Ge 0.2500 0.2500 0.2500  4 Ce 3.01, 4 Li 3.01
Ce 0.0000 0.0000 0.0000  4 Au 3.01, 4 Ge 3.01

For the calculated volume, the calculation gives 84.0 Å³ per cell. The value obtained for the calculated total energy is -18.04 eV/f.u. The calculation puts the total magnetization at 0.23 μB/f.u.

# 4
Computed, not measured: a relaxed NaRe3Si crystal at the PBE level of DFT.

a b c (Å): 4.4964 4.4964 4.4964
angles (deg): 90.00 90.00 90.00
Closest atoms and distances in Å follow each position.
Atoms (fractional coordinates):
Na 0.5000 0.5000 0.5000  12 Re 3.18
Re 0.0000 0.0000 0.5000  2 Si 2.25
Re 0.5000 0.0000 0.0000  2 Si 2.25
Re 0.0000 0.5000 0.0000  2 Si 2.25
Si 0.0000 0.0000 0.0000  6 Re 2.25

For the uncorrected formation energy, the calculation gives 7.261 eV per formula unit. For the calculated volume, the calculation gives 90.9 Å³ per cell. The calculation puts the total magnetization at 0.00 μB/f.u.

# 5
Computed, not measured: a relaxed KCaCo2 crystal at the PBE level of DFT.

a b c (Å): 7.2092 7.2092 7.2092
angles (deg): 151.29 141.03 49.11
Closest atoms and distances in Å follow each position.
Atoms (fractional coordinates):
K 0.4633 0.4633 0.0000  8 Co 3.54-3.95, 2 K 3.57, 4 Ca 3.90-3.92
Co 0.2027 0.7027 0.5000  2 Co 2.19
Co 0.1064 0.1064 0.0000  2 Co 2.19
Ca 0.7276 0.2276 0.5000  6 Co 2.88-3.01

For the calculated volume, the calculation gives 112.7 Å³ per cell. The value obtained for the calculated total energy is -15.11 eV/f.u. The calculation puts the total magnetization at 2.92 μB/f.u.

# 6
Computed, not measured: a relaxed Ce3PuPb crystal at the PBE level of DFT.

a b c (Å): 6.4024 8.8784 9.3140
angles (deg): 99.55 90.00 90.00
Closest atoms and distances in Å follow each position.
Atoms (fractional coordinates):
Ce 0.4164 0.1984 0.5619  2 Pu 2.51-2.54
Ce 0.8677 0.3214 0.4386  1 Pu 2.43
Ce 0.0836 0.1984 0.0619  2 Pu 2.51-2.54
Ce 0.0700 0.9299 0.3055  3 Pu 2.56-2.69
Ce 0.5700 0.0701 0.1945  3 Pu 2.56-2.69
Ce 0.9164 0.8016 0.9381  2 Pu 2.51-2.54
Ce 0.9300 0.0701 0.6945  3 Pu 2.56-2.69
Ce 0.4300 0.9299 0.8055  3 Pu 2.56-2.69
Ce 0.1323 0.6786 0.5614  1 Pu 2.43
Ce 0.3677 0.6786 0.0614  1 Pu 2.43
Ce 0.6323 0.3214 0.9386  1 Pu 2.43
Ce 0.5836 0.8016 0.4381  2 Pu 2.51-2.54
Pu 0.7600 0.0665 0.9522  6 Ce 2.43-2.69
Pu 0.2600 0.9335 0.5478  6 Ce 2.43-2.69
Pu 0.7400 0.0665 0.4522  6 Ce 2.43-2.69
Pu 0.2400 0.9335 0.0478  6 Ce 2.43-2.69
Pb 0.8800 0.5670 0.2040  8 Ce 3.33-3.68, 2 Pb 3.57
Pb 0.6200 0.5670 0.7040  8 Ce 3.33-3.68, 2 Pb 3.57
Pb 0.3800 0.4330 0.2960  8 Ce 3.33-3.68, 2 Pb 3.57
Pb 0.1200 0.4330 0.7960  8 Ce 3.33-3.68, 2 Pb 3.57

For the calculated volume, the calculation gives 522.1 Å³ per cell. The value obtained for the calculated total energy is -36.44 eV/f.u. The calculation puts the total magnetization at 0.00 μB/f.u.

# 7
Computed, not measured: a relaxed Ca2CuH crystal at the PBE level of DFT.

a b c (Å): 6.7024 6.7024 6.1614
angles (deg): 57.05 57.05 90.00
Closest atoms and distances in Å follow each position.
Atoms (fractional coordinates):
Ca 0.1978 0.6250 0.2500  2 H 2.28
Ca 0.3750 0.4478 0.7500  2 H 2.28
Ca 0.8750 0.8022 0.7500  2 H 2.28
Ca 0.5522 0.1250 0.2500  2 H 2.28
H 0.2500 0.7500 0.5000  4 Ca 2.28
H 0.5000 0.5000 0.0000  4 Ca 2.28
Cu 0.7500 0.2500 0.5000  4 Ca 2.91
Cu 0.0000 0.0000 0.0000  4 Ca 2.91

For the calculated volume, the calculation gives 176.9 Å³ per cell. The value obtained for the calculated total energy is -11.78 eV/f.u. The calculation puts the total magnetization at 0.00 μB/f.u.

# 8
Computed, not measured: a relaxed Cs3LiCo crystal at the PBE level of DFT.

a b c (Å): 7.2629 7.2629 7.2629
angles (deg): 90.00 90.00 90.00
Closest atoms and distances in Å follow each position.
Atoms (fractional coordinates):
Co 0.5000 0.5000 0.5000  12 Cs 5.14
Cs 0.0000 0.5000 0.0000  2 Li 3.63
Cs 0.5000 0.0000 0.0000  2 Li 3.63
Cs 0.0000 0.0000 0.5000  2 Li 3.63
Li 0.0000 0.0000 0.0000  6 Cs 3.63

For the calculated volume, the calculation gives 383.1 Å³ per cell. The value obtained for the calculated total energy is -7.18 eV/f.u. The calculation puts the total magnetization at 2.05 μB/f.u.

# 9
Computed, not measured: a relaxed AcSmHo6Er2 crystal at the PBE level of DFT.

a b c (Å): 9.4985 8.8780 8.8780
angles (deg): 117.47 92.51 92.51
Closest atoms and distances in Å follow each position.
Atoms (fractional coordinates):
Sm 0.7500 0.5886 0.4114  6 Ho 3.45-3.53, 4 Er 3.58-3.80
Sm 0.2500 0.4114 0.5886  6 Ho 3.45-3.53, 4 Er 3.58-3.80
Ho 0.9419 0.8746 0.2488  7 Ho 3.41-3.82, 1 Er 3.55, 1 Ac 3.82
Ho 0.0581 0.1254 0.7512  7 Ho 3.41-3.82, 1 Er 3.55, 1 Ac 3.82
Ho 0.4419 0.2488 0.8746  7 Ho 3.41-3.82, 1 Er 3.55, 1 Ac 3.82
Ho 0.1784 0.5549 0.0169  4 Ho 3.21-3.59, 2 Er 3.42-3.45, 1 Sm 3.52
Ho 0.8845 0.2888 0.5121  4 Ho 3.21-3.47, 3 Er 3.28-3.44, 2 Sm 3.45-3.53
Ho 0.5581 0.7512 0.1254  7 Ho 3.41-3.82, 1 Er 3.55, 1 Ac 3.82
Ho 0.6784 0.0169 0.5549  4 Ho 3.21-3.59, 2 Er 3.42-3.45, 1 Sm 3.52
Ho 0.3845 0.5121 0.2888  4 Ho 3.21-3.47, 3 Er 3.28-3.44, 2 Sm 3.45-3.53
Ho 0.8216 0.4451 0.9831  4 Ho 3.21-3.59, 2 Er 3.42-3.45, 1 Sm 3.52
Ho 0.6155 0.4879 0.7112  4 Ho 3.21-3.47, 3 Er 3.28-3.44, 2 Sm 3.45-3.53
Ho 0.1155 0.7112 0.4879  4 Ho 3.21-3.47, 3 Er 3.28-3.44, 2 Sm 3.45-3.53
Ho 0.3216 0.9831 0.4451  4 Ho 3.21-3.59, 2 Er 3.42-3.45, 1 Sm 3.52
Er 0.0495 0.3134 0.2002  6 Ho 3.28-3.55, 2 Ac 3.44-3.56, 1 Sm 3.58
Er 0.4505 0.7998 0.6866  6 Ho 3.28-3.55, 2 Ac 3.44-3.56, 1 Sm 3.58
Er 0.9505 0.6866 0.7998  6 Ho 3.28-3.55, 2 Ac 3.44-3.56, 1 Sm 3.58
Er 0.5495 0.2002 0.3134  6 Ho 3.28-3.55, 2 Ac 3.44-3.56, 1 Sm 3.58
Ac 0.7500 0.0326 0.9674  4 Er 3.44-3.56, 6 Ho 3.63-3.83
Ac 0.2500 0.9674 0.0326  4 Er 3.44-3.56, 6 Ho 3.63-3.83

For the calculated volume, the calculation gives 661.9 Å³ per cell. The value obtained for the calculated total energy is -44.09 eV/f.u. The calculation puts the total magnetization at 0.00 μB/f.u.

# 10
Computed, not measured: a relaxed Na2LaHfS crystal at the PBE level of DFT.

a b c (Å): 5.2761 5.0234 5.2761
angles (deg): 90.00 90.00 90.00
Closest atoms and distances in Å follow each position.
Atoms (fractional coordinates):
La 0.5000 0.5000 0.5000  8 Na 3.64, 4 Hf 3.73
Na 0.5000 0.0000 0.0000  2 S 2.64
Na 0.0000 0.0000 0.5000  2 S 2.64
Hf 0.0000 0.5000 0.0000  2 S 2.51
S 0.0000 0.0000 0.0000  2 Hf 2.51, 4 Na 2.64

For the uncorrected formation energy, the calculation gives 0.026 eV per formula unit. For the calculated volume, the calculation gives 139.8 Å³ per cell. The calculation puts the total magnetization at 1.57 μB/f.u.

# 11
Computed, not measured: a relaxed NaGa9Tc2 crystal at the PBE level of DFT.

a b c (Å): 3.3813 8.5844 8.5844
angles (deg): 120.00 90.00 90.00
Closest atoms and distances in Å follow each position.
Atoms (fractional coordinates):
Ga 0.5000 0.1927 0.8073  2 Tc 2.69, 6 Ga 2.86
Ga 0.5000 0.8073 0.1927  2 Tc 2.69, 6 Ga 2.86
Ga 0.0000 0.5000 0.5000  2 Tc 2.48
Ga 0.5000 0.6146 0.8073  2 Tc 2.69, 6 Ga 2.86
Ga 0.5000 0.1927 0.3854  2 Tc 2.69, 6 Ga 2.86
Ga 0.0000 0.5000 0.0000  2 Tc 2.48
Ga 0.0000 0.0000 0.5000  2 Tc 2.48
Ga 0.5000 0.8073 0.6146  2 Tc 2.69, 6 Ga 2.86
Ga 0.5000 0.3854 0.1927  2 Tc 2.69, 6 Ga 2.86
Na 0.0000 0.0000 0.0000  12 Ga 3.33, 2 Na 3.38
Tc 0.0000 0.6667 0.3333  9 Ga 2.48-2.69
Tc 0.0000 0.3333 0.6667  9 Ga 2.48-2.69

For the calculated volume, the calculation gives 215.8 Å³ per cell. The value obtained for the calculated total energy is -51.48 eV/f.u. The calculation puts the total magnetization at 0.00 μB/f.u.

# 12
Computed, not measured: a relaxed KGaPb crystal at the PBE level of DFT.

a b c (Å): 8.1965 4.7579 5.5985
angles (deg): 90.00 90.00 90.00
Closest atoms and distances in Å follow each position.
Atoms (fractional coordinates):
Pb 0.1831 0.5000 0.0000  2 Ga 2.73, 1 Pb 3.00
Pb 0.8169 0.5000 0.0000  2 Ga 2.73, 1 Pb 3.00
K 0.5000 0.5000 0.5000  4 Pb 3.82, 8 Ga 3.88
K 0.0000 0.0000 0.5000  8 Pb 3.97, 4 Ga 3.99
Ga 0.3476 0.0000 0.0000  1 Ga 2.50, 2 Pb 2.73
Ga 0.6524 0.0000 0.0000  1 Ga 2.50, 2 Pb 2.73

For the calculated volume, the calculation gives 218.3 Å³ per cell. The value obtained for the calculated total energy is -8.10 eV/f.u. The calculation puts the total magnetization at 0.00 μB/f.u.